# U4SnSb

A relaxed U4SnSb crystal (GGA-PBE, Alexandria).

a b c (Å): 8.947 5.828 10.582
angles (deg): 90.00 92.68 90.00
Space group C2/c (No. 15)
Asymmetric unit:
U1 0.112 0.244 0.019 x8
U2 0.139 0.038 0.232 x8
Sn1 0.000 0.460 0.750 x4
Sb1 0.250 0.250 0.500 x4

Calculated values
Fermi-level density of states ... 51.00 states/eV per cell
Crystal system ... monoclinic
Energy relative to the elements, uncorrected ... -0.208 eV per atom
Calculated total energy ... -9.09 eV/atom